DFT (PBE) results for a geometry-optimized CaBeMoS2 structure.

Cell: 4.640 4.640 4.270 Å, 90.00 90.00 90.00°
Fractional positions:
1 Ca 0.000 0.000 0.000
2 Be 0.500 0.500 0.500
3 Mo 0.500 0.500 0.000
4 S 0.000 0.500 0.500
5 S 0.500 0.000 0.500

The value obtained for the total energy is -4.7861 eV per atom. The value obtained for the uncorrected formation energy is 177 meV per atom.